The following is a GGA-PBE calculation of a relaxed Pu2ZrAg crystal, from Alexandria.

* electronic total energy: -39.10 eV/cell
* Fermi-level density of states: 3.0083 states/eV per atom
* size of the total moment: 12.7 μB/cell
* energy of formation from the pure elements: 0.241 eV/atom
* offset from the most stable computed form: 75 meV/atom

```
Pu2ZrAg
1.0
3.9236 0.0000 0.0000
0.0000 3.9236 0.0000
0.0000 0.0000 6.3918
Pu Zr Ag
2 1 1
Cartesian
0.0000 0.0000 1.5197 Pu
0.0000 0.0000 4.8721 Pu
1.9618 1.9618 3.1959 Zr
1.9618 1.9618 0.0000 Ag
```